Here is crystalline Ti3MoO at its relaxed geometry from Alexandria via LeMat-Bulk. Energies are from PBE with a Hubbard U.

```
5
Lattice="4.144 0.000 0.000 0.000 4.144 0.000 0.000 0.000 4.144" Properties=species:S:1:pos:R:3 pbc="T T T"
Ti 0.000 0.000 2.072
Ti 0.000 2.072 0.000
Ti 2.072 0.000 0.000
Mo 2.072 2.072 2.072
O 0.000 0.000 0.000
```

Computed properties:
Size of the total moment, μB/atom: 0.002
Offset from the most stable computed form, eV/atom: 0.000